Computed, not measured: Nb3FeCo after structural relaxation at the GGA-PBE level of DFT.

Cell and atoms, written as extended XYZ:
```
10
Lattice="-2.859 -2.403 -0.505 0.594 0.387 -5.183 5.093 -6.087 0.130" Properties=species:S:1:pos:R:3 pbc="T T T"
Co 1.993 -6.161 -3.048
Co 0.835 -1.942 -2.510
Fe 2.253 -5.991 -5.313
Fe 0.575 -2.112 -0.245
Nb -1.760 -1.991 -1.648
Nb 3.255 -5.068 -1.330
Nb 4.589 -6.112 -3.910
Nb -0.426 -3.035 -4.228
Nb 0.311 -4.467 -1.595
Nb 2.517 -3.637 -3.963
```

ΔE to the lowest computed polymorph   0.00 eV/f.u.
SG   Pmmn (59)
Final energy   -9.118 eV/atom
Formation enthalpy at 0 K   0.037 eV per atom